Record 1
# La3SBr3

An optimized crystal structure of La3SBr3 (PBE, Alexandria).

## Properties
DOS(E_F): 14.84 states/eV per cell
space group: I4_132
energy relative to the elements, uncorrected: -176.4 kJ per mole of atoms

Structure (CIF):
```
data_La3SBr3
_chemical_formula_sum 'La12 S4 Br12'
_symmetry_space_group_name_H-M 'P 1'
_symmetry_Int_Tables_number 1
_cell_length_a 10.356
_cell_length_b 10.356
_cell_length_c 10.356
_cell_angle_alpha 109.47
_cell_angle_beta 109.47
_cell_angle_gamma 109.47
loop_
_symmetry_equiv_pos_as_xyz
'x,y,z'
loop_
_atom_site_label
_atom_site_fract_x
_atom_site_fract_y
_atom_site_fract_z
La1 0.737 0.263 0.750
Br1 0.750 0.991 0.509
La2 0.513 0.487 0.750
La3 0.513 0.027 0.263
S1 0.500 0.250 0.500
Br2 0.491 0.983 0.741
Br3 0.009 0.759 0.517
Br4 0.483 0.741 0.991
La4 0.763 0.750 0.237
La5 0.250 0.013 0.487
S2 0.000 0.000 0.250
La6 0.763 0.013 0.027
La7 0.987 0.750 0.013
Br5 0.259 0.517 0.509
La8 0.973 0.487 0.237
S3 0.750 0.500 0.000
Br6 0.241 0.991 0.983
La9 0.987 0.237 0.473
Br7 0.259 0.741 0.250
S4 0.750 0.250 0.250
Br8 0.009 0.250 0.991
La10 0.250 0.237 0.263
La11 0.527 0.263 0.013
La12 0.737 0.473 0.487
Br9 0.750 0.759 0.741
Br10 0.241 0.250 0.759
Br11 0.491 0.509 0.250
Br12 0.017 0.509 0.759
```

=====

Record 2
# HoPtN

An optimized crystal structure of HoPtN (PBE, Alexandria).

## Properties
DOS(E_F): 3.23 states/eV per cell
space group: Cmcm
energy relative to the elements, uncorrected: -50.9 kJ per mole of atoms

Structure (CIF):
```
data_HoPtN
_chemical_formula_sum 'Ho2 Pt2 N2'
_symmetry_space_group_name_H-M 'P 1'
_symmetry_Int_Tables_number 1
_cell_length_a 3.300
_cell_length_b 3.501
_cell_length_c 8.765
_cell_angle_alpha 90.00
_cell_angle_beta 100.85
_cell_angle_gamma 90.00
loop_
_symmetry_equiv_pos_as_xyz
'x,y,z'
loop_
_atom_site_label
_atom_site_fract_x
_atom_site_fract_y
_atom_site_fract_z
Ho1 0.917 0.250 0.833
N1 0.569 0.250 0.138
Ho2 0.083 0.750 0.167
N2 0.431 0.750 0.862
Pt1 0.226 0.250 0.452
Pt2 0.774 0.750 0.548
```

=====

no.,calculated total energy (eV per cell)
1,-146.91
2,-41.05